No. 1
VASP calculation (GGA-PBE) on Ac3Mg2Ge4 after structural relaxation.

total magnetization	0.00	μB/f.u.
final energy	-4.39	eV/atom
E_form	-611.5	meV per atom

```
data_Ac3Mg2Ge4
_cell_length_a 12.544
_cell_length_b 4.480
_cell_length_c 9.245
_cell_angle_alpha 90.00
_cell_angle_beta 111.81
_cell_angle_gamma 90.00
_symmetry_space_group_name_H-M 'C 1 2/m 1'
_symmetry_Int_Tables_number 12
_symmetry_space_group_name_Hall '-C 2y'
loop_
_atom_site_label
_atom_site_type_symbol
_atom_site_fract_x
_atom_site_fract_y
_atom_site_fract_z
_atom_site_occupancy
Ac1 Ac 0.000 0.000 0.000 1
Ac2 Ac 0.113 0.500 0.689 1
Mg1 Mg 0.192 0.500 0.350 1
Ge1 Ge 0.093 0.000 0.391 1
Ge2 Ge 0.221 0.500 0.058 1
```



No. 2
VASP calculation (GGA-PBE) on AcMg2Ge2 after structural relaxation.

total magnetization	0.00	μB/f.u.
final energy	-3.85	eV/atom
E_form	-540.7	meV per atom

```
data_AcMg2Ge2
_cell_length_a 4.464
_cell_length_b 4.464
_cell_length_c 11.970
_cell_angle_alpha 90.00
_cell_angle_beta 90.00
_cell_angle_gamma 90.00
_symmetry_space_group_name_H-M 'I 4/m m m'
_symmetry_Int_Tables_number 139
_symmetry_space_group_name_Hall '-I 4 2'
loop_
_atom_site_label
_atom_site_type_symbol
_atom_site_fract_x
_atom_site_fract_y
_atom_site_fract_z
_atom_site_occupancy
Ac1 Ac 0.000 0.000 0.000 1
Mg1 Mg 0.000 0.500 0.250 1
Ge1 Ge 0.000 0.000 0.389 1
```



No. 3
VASP calculation (GGA-PBE) on Ac2Mg2Ge after structural relaxation.

total magnetization	0.00	μB/f.u.
final energy	-3.32	eV/atom
E_form	-117.1	meV per atom

```
data_Ac2Mg2Ge
_cell_length_a 4.055
_cell_length_b 4.055
_cell_length_c 19.721
_cell_angle_alpha 90.00
_cell_angle_beta 90.00
_cell_angle_gamma 90.00
_symmetry_space_group_name_H-M 'I 4/m m m'
_symmetry_Int_Tables_number 139
_symmetry_space_group_name_Hall '-I 4 2'
loop_
_atom_site_label
_atom_site_type_symbol
_atom_site_fract_x
_atom_site_fract_y
_atom_site_fract_z
_atom_site_occupancy
Ac1 Ac 0.000 0.000 0.086 1
Mg1 Mg 0.000 0.500 0.250 1
Ge1 Ge 0.000 0.000 0.500 1
```



No. 4
VASP calculation (GGA-PBE) on AcMg3Ge2 after structural relaxation.

total magnetization	0.00	μB/f.u.
final energy	-3.43	eV/atom
E_form	-405.9	meV per atom

```
data_AcMg3Ge2
_cell_length_a 16.949
_cell_length_b 4.482
_cell_length_c 8.443
_cell_angle_alpha 90.00
_cell_angle_beta 117.17
_cell_angle_gamma 90.00
_symmetry_space_group_name_H-M 'C 1 2/m 1'
_symmetry_Int_Tables_number 12
_symmetry_space_group_name_Hall '-C 2y'
loop_
_atom_site_label
_atom_site_type_symbol
_atom_site_fract_x
_atom_site_fract_y
_atom_site_fract_z
_atom_site_occupancy
Ac1 Ac 0.147 0.000 0.061 1
Mg1 Mg 0.048 0.000 0.377 1
Mg2 Mg 0.097 0.500 0.685 1
Mg3 Mg 0.186 0.500 0.449 1
Ge1 Ge 0.016 0.500 0.167 1
Ge2 Ge 0.201 0.000 0.708 1
```



No. 5
VASP calculation (GGA-PBE) on Ac3Mg7Ge4 after structural relaxation.

total magnetization	0.00	μB/f.u.
final energy	-3.43	eV/atom
E_form	-432.6	meV per atom

```
data_Ac3Mg7Ge4
_cell_length_a 17.314
_cell_length_b 4.545
_cell_length_c 10.755
_cell_angle_alpha 90.00
_cell_angle_beta 124.50
_cell_angle_gamma 90.00
_symmetry_space_group_name_H-M 'C 1 2/m 1'
_symmetry_Int_Tables_number 12
_symmetry_space_group_name_Hall '-C 2y'
loop_
_atom_site_label
_atom_site_type_symbol
_atom_site_fract_x
_atom_site_fract_y
_atom_site_fract_z
_atom_site_occupancy
Ac1 Ac 0.000 0.000 0.000 1
Ac2 Ac 0.193 0.500 0.700 1
Mg1 Mg 0.000 0.000 0.500 1
Mg2 Mg 0.009 0.500 0.300 1
Mg3 Mg 0.160 0.000 0.428 1
Mg4 Mg 0.180 0.500 0.018 1
Ge1 Ge 0.120 0.000 0.842 1
Ge2 Ge 0.155 0.500 0.265 1
```



No. 6
VASP calculation (GGA-PBE) on Ac4Mg3Ge5 after structural relaxation.

total magnetization	0.00	μB/f.u.
final energy	-4.11	eV/atom
E_form	-413.8	meV per atom

```
data_Ac4Mg3Ge5
_cell_length_a 13.120
_cell_length_b 4.854
_cell_length_c 12.618
_cell_angle_alpha 90.00
_cell_angle_beta 120.76
_cell_angle_gamma 90.00
_symmetry_space_group_name_H-M 'C 1 2/m 1'
_symmetry_Int_Tables_number 12
_symmetry_space_group_name_Hall '-C 2y'
loop_
_atom_site_label
_atom_site_type_symbol
_atom_site_fract_x
_atom_site_fract_y
_atom_site_fract_z
_atom_site_occupancy
Ac1 Ac 0.125 0.000 0.344 1
Ac2 Ac 0.140 0.000 0.007 1
Mg1 Mg 0.000 0.500 0.500 1
Mg2 Mg 0.178 0.000 0.735 1
Ge1 Ge 0.000 0.000 0.500 1
Ge2 Ge 0.072 0.500 0.135 1
Ge3 Ge 0.080 0.500 0.789 1
```



No. 7
VASP calculation (GGA-PBE) on Ac4MgGe2 after structural relaxation.

total magnetization	0.00	μB/f.u.
final energy	-4.19	eV/atom
E_form	-292.4	meV per atom

```
data_Ac4MgGe2
_cell_length_a 5.5090
_cell_length_b 5.5090
_cell_length_c 28.1646
_cell_angle_alpha 90.00
_cell_angle_beta 90.00
_cell_angle_gamma 120.00
_symmetry_space_group_name_H-M 'R -3 m'
_symmetry_Int_Tables_number 166
_symmetry_space_group_name_Hall '-R 3 2"'
loop_
_atom_site_label
_atom_site_type_symbol
_atom_site_fract_x
_atom_site_fract_y
_atom_site_fract_z
_atom_site_occupancy
Ac1 Ac 0.0000 0.0000 0.1198 1
Ac2 Ac 0.0000 0.0000 0.2885 1
Mg1 Mg 0.0000 0.0000 0.5000 1
Ge1 Ge 0.0000 0.0000 0.4027 1
```



No. 8
VASP calculation (GGA-PBE) on AcMg4Ge3 after structural relaxation.

total magnetization	0.00	μB/f.u.
final energy	-3.46	eV/atom
E_form	-414.7	meV per atom

```
data_AcMg4Ge3
_cell_length_a 4.550
_cell_length_b 4.550
_cell_length_c 8.901
_cell_angle_alpha 90.00
_cell_angle_beta 90.00
_cell_angle_gamma 90.00
_symmetry_space_group_name_H-M 'P 4/m m m'
_symmetry_Int_Tables_number 123
_symmetry_space_group_name_Hall '-P 4 2'
loop_
_atom_site_label
_atom_site_type_symbol
_atom_site_fract_x
_atom_site_fract_y
_atom_site_fract_z
_atom_site_occupancy
Ac1 Ac 0.000 0.000 0.000 1
Mg1 Mg 0.000 0.500 0.321 1
Ge1 Ge 0.000 0.000 0.500 1
Ge2 Ge 0.500 0.500 0.144 1
```



No. 9
VASP calculation (GGA-PBE) on Ac2Mg6Ge3 after structural relaxation.

total magnetization	0.00	μB/f.u.
final energy	-3.29	eV/atom
E_form	-418.4	meV per atom

```
data_Ac2Mg6Ge3
_cell_length_a 8.4016
_cell_length_b 8.4016
_cell_length_c 4.4476
_cell_angle_alpha 90.00
_cell_angle_beta 90.00
_cell_angle_gamma 120.00
_symmetry_space_group_name_H-M 'P -6 2 m'
_symmetry_Int_Tables_number 189
_symmetry_space_group_name_Hall 'P -6 -2'
loop_
_atom_site_label
_atom_site_type_symbol
_atom_site_fract_x
_atom_site_fract_y
_atom_site_fract_z
_atom_site_occupancy
Ac1 Ac 0.3333 0.6667 0.0000 1
Mg1 Mg 0.0000 0.2019 0.0000 1
Mg2 Mg 0.0000 0.7103 0.5000 1
Ge1 Ge 0.0000 0.3865 0.5000 1
```



No. 10
VASP calculation (GGA-PBE) on Ac3Mg4Ge4 after structural relaxation.

total magnetization	0.00	μB/f.u.
final energy	-3.90	eV/atom
E_form	-525.1	meV per atom

```
data_Ac3Mg4Ge4
_cell_length_a 4.464
_cell_length_b 8.383
_cell_length_c 15.243
_cell_angle_alpha 90.00
_cell_angle_beta 90.00
_cell_angle_gamma 90.00
_symmetry_space_group_name_H-M 'I m m m'
_symmetry_Int_Tables_number 71
_symmetry_space_group_name_Hall '-I 2 2'
loop_
_atom_site_label
_atom_site_type_symbol
_atom_site_fract_x
_atom_site_fract_y
_atom_site_fract_z
_atom_site_occupancy
Ac1 Ac 0.000 0.000 0.000 1
Ac2 Ac 0.000 0.500 0.112 1
Mg1 Mg 0.000 0.313 0.326 1
Ge1 Ge 0.000 0.000 0.228 1
Ge2 Ge 0.000 0.219 0.500 1
```